# 1
This record from Alexandria via LeMat-Bulk describes a PBEsol-optimized structure of ZrZn2Te2. The functional is meta-GGA SCAN.

spin magnetization = 0.00 μB per cell
energy = -26.7194 eV/atom
formation energy (no corrections) = -132 kJ/mol of formula units

Geometry as CIF:
```
data_ZrZn2Te2
_chemical_formula_sum 'Zr2 Zn4 Te4'
_cell_length_a 3.543
_cell_length_b 3.543
_cell_length_c 18.261
_cell_angle_alpha 90.00
_cell_angle_beta 90.00
_cell_angle_gamma 90.00
_space_group_name_H-M_alt 'I 4/m m m'
_space_group_IT_number 139
_space_group_name_Hall '-I 4 2'
loop_
_atom_site_label
_atom_site_type_symbol
_atom_site_fract_x
_atom_site_fract_y
_atom_site_fract_z
_atom_site_occupancy
Zr1 Zr 0.000 0.000 0.000 1
Zn1 Zn 0.000 0.500 0.250 1
Te1 Te 0.000 0.000 0.407 1
```

# 2
This record from Alexandria via LeMat-Bulk describes a PBEsol-optimized structure of CaZn2Hg. The functional is meta-GGA SCAN.

spin magnetization = 0.00 μB per cell
energy = -26.4037 eV/atom
formation energy = -0.1887 eV/atom

Geometry as CIF:
```
data_CaZn2Hg
_chemical_formula_sum 'Ca1 Zn2 Hg1'
_cell_length_a 4.354
_cell_length_b 4.354
_cell_length_c 4.320
_cell_angle_alpha 90.00
_cell_angle_beta 90.00
_cell_angle_gamma 90.00
_space_group_name_H-M_alt 'P 4/m m m'
_space_group_IT_number 123
_space_group_name_Hall '-P 4 2'
loop_
_atom_site_label
_atom_site_type_symbol
_atom_site_fract_x
_atom_site_fract_y
_atom_site_fract_z
_atom_site_occupancy
Ca1 Ca 0.000 0.000 0.000 1
Zn1 Zn 0.000 0.500 0.500 1
Hg1 Hg 0.500 0.500 0.000 1
```

# 3
This record from Alexandria via LeMat-Bulk describes a PBEsol-optimized structure of MgTcHg2. The functional is meta-GGA SCAN.

spin magnetization = 1.87 μB per cell
energy = -43.8654 eV/atom
formation energy = 0.2260 eV/atom

Geometry as CIF:
```
data_MgTcHg2
_chemical_formula_sum 'Mg2 Tc2 Hg4'
_cell_length_a 5.965
_cell_length_b 7.689
_cell_length_c 3.094
_cell_angle_alpha 90.00
_cell_angle_beta 90.00
_cell_angle_gamma 90.00
_space_group_name_H-M_alt 'C m m m'
_space_group_IT_number 65
_space_group_name_Hall '-C 2 2'
loop_
_atom_site_label
_atom_site_type_symbol
_atom_site_fract_x
_atom_site_fract_y
_atom_site_fract_z
_atom_site_occupancy
Mg1 Mg 0.000 0.000 0.000 1
Tc1 Tc 0.000 0.500 0.000 1
Hg1 Hg 0.250 0.250 0.500 1
```

# 4
This record from Alexandria via LeMat-Bulk describes a PBEsol-optimized structure of LaAuBr2. The functional is meta-GGA SCAN.

spin magnetization = 0.00 μB per cell
energy = -39.0760 eV/atom
formation energy (no corrections) = -494 kJ/mol of formula units

Geometry as CIF:
```
data_LaAuBr2
_chemical_formula_sum 'La4 Au4 Br8'
_cell_length_a 7.296
_cell_length_b 7.296
_cell_length_c 7.296
_cell_angle_alpha 90.00
_cell_angle_beta 90.00
_cell_angle_gamma 90.00
_space_group_name_H-M_alt 'F m -3 m'
_space_group_IT_number 225
_space_group_name_Hall '-F 4 2 3'
loop_
_atom_site_label
_atom_site_type_symbol
_atom_site_fract_x
_atom_site_fract_y
_atom_site_fract_z
_atom_site_occupancy
La1 La 0.000 0.000 0.000 1
Au1 Au 0.000 0.000 0.500 1
Br1 Br 0.250 0.250 0.250 1
```

# 5
This record from Alexandria via LeMat-Bulk describes a PBEsol-optimized structure of CrSiMo2. The functional is meta-GGA SCAN.

spin magnetization = 0.01 μB per cell
energy = -24.2496 eV/atom
formation energy (no corrections) = 113 kJ/mol of formula units

Geometry as CIF:
```
data_CrSiMo2
_chemical_formula_sum 'Cr3 Si3 Mo6'
_cell_length_a 2.7831
_cell_length_b 2.7831
_cell_length_c 24.7791
_cell_angle_alpha 90.00
_cell_angle_beta 90.00
_cell_angle_gamma 120.00
_space_group_name_H-M_alt 'R -3 m'
_space_group_IT_number 166
_space_group_name_Hall '-R 3 2"'
loop_
_atom_site_label
_atom_site_type_symbol
_atom_site_fract_x
_atom_site_fract_y
_atom_site_fract_z
_atom_site_occupancy
Cr1 Cr 0.0000 0.0000 0.0000 1
Si1 Si 0.0000 0.0000 0.5000 1
Mo1 Mo 0.0000 0.0000 0.2514 1
```

# 6
This record from Alexandria via LeMat-Bulk describes a PBEsol-optimized structure of SrGa2AuS. The functional is meta-GGA SCAN.

spin magnetization = 0.00 μB per cell
energy = -27.2032 eV/atom
formation energy (no corrections) = -218 kJ/mol of formula units

Geometry as CIF:
```
data_SrGa2AuS
_chemical_formula_sum 'Sr1 Ga2 Au1 S1'
_cell_length_a 4.668
_cell_length_b 4.668
_cell_length_c 6.320
_cell_angle_alpha 90.00
_cell_angle_beta 90.00
_cell_angle_gamma 90.00
_space_group_name_H-M_alt 'P 4/m m m'
_space_group_IT_number 123
_space_group_name_Hall '-P 4 2'
loop_
_atom_site_label
_atom_site_type_symbol
_atom_site_fract_x
_atom_site_fract_y
_atom_site_fract_z
_atom_site_occupancy
Sr1 Sr 0.000 0.000 0.000 1
Ga1 Ga 0.000 0.500 0.500 1
Au1 Au 0.500 0.500 0.500 1
S1 S 0.500 0.500 0.000 1
```

# 7
This record from Alexandria via LeMat-Bulk describes a PBEsol-optimized structure of Sr2SbH. The functional is meta-GGA SCAN.

spin magnetization = 0.00 μB per cell
energy = -22.0596 eV/atom

Geometry as CIF:
```
data_Sr2SbH
_chemical_formula_sum 'Sr8 Sb4 H4'
_cell_length_a 7.634
_cell_length_b 7.634
_cell_length_c 7.634
_cell_angle_alpha 90.00
_cell_angle_beta 90.00
_cell_angle_gamma 90.00
_space_group_name_H-M_alt 'F m -3 m'
_space_group_IT_number 225
_space_group_name_Hall '-F 4 2 3'
loop_
_atom_site_label
_atom_site_type_symbol
_atom_site_fract_x
_atom_site_fract_y
_atom_site_fract_z
_atom_site_occupancy
Sr1 Sr 0.250 0.250 0.250 1
Sb1 Sb 0.000 0.000 0.000 1
H1 H 0.000 0.000 0.500 1
```

# 8
This record from Alexandria via LeMat-Bulk describes a PBEsol-optimized structure of ZnSbMo2. The functional is meta-GGA SCAN.

spin magnetization = 0.00 μB per cell
energy = -29.6762 eV/atom
formation energy (no corrections) = 178 kJ/mol of formula units

Geometry as CIF:
```
data_ZnSbMo2
_chemical_formula_sum 'Zn1 Sb1 Mo2'
_cell_length_a 4.492
_cell_length_b 4.492
_cell_length_c 3.179
_cell_angle_alpha 90.00
_cell_angle_beta 90.00
_cell_angle_gamma 90.00
_space_group_name_H-M_alt 'P 4/m m m'
_space_group_IT_number 123
_space_group_name_Hall '-P 4 2'
loop_
_atom_site_label
_atom_site_type_symbol
_atom_site_fract_x
_atom_site_fract_y
_atom_site_fract_z
_atom_site_occupancy
Zn1 Zn 0.000 0.000 0.000 1
Sb1 Sb 0.500 0.500 0.000 1
Mo1 Mo 0.000 0.500 0.500 1
```

# 9
This record from Alexandria via LeMat-Bulk describes a PBEsol-optimized structure of RbCaFe3. The functional is meta-GGA SCAN.

spin magnetization = 8.63 μB per cell
energy = -14.7186 eV/atom
formation energy = 2.2397 eV/atom

Geometry as CIF:
```
data_RbCaFe3
_chemical_formula_sum 'Rb1 Ca1 Fe3'
_cell_length_a 4.751
_cell_length_b 4.751
_cell_length_c 4.751
_cell_angle_alpha 90.00
_cell_angle_beta 90.00
_cell_angle_gamma 90.00
_space_group_name_H-M_alt 'P m -3 m'
_space_group_IT_number 221
_space_group_name_Hall '-P 4 2 3'
loop_
_atom_site_label
_atom_site_type_symbol
_atom_site_fract_x
_atom_site_fract_y
_atom_site_fract_z
_atom_site_occupancy
Rb1 Rb 0.000 0.000 0.000 1
Ca1 Ca 0.500 0.500 0.500 1
Fe1 Fe 0.000 0.000 0.500 1
```

# 10
This record from Alexandria via LeMat-Bulk describes a PBEsol-optimized structure of ScCr2Cl. The functional is meta-GGA SCAN.

spin magnetization = 0.00 μB per cell
energy = -14.3547 eV/atom
formation energy (no corrections) = 151 kJ/mol of formula units

Geometry as CIF:
```
data_ScCr2Cl
_chemical_formula_sum 'Sc2 Cr4 Cl2'
_cell_length_a 3.084
_cell_length_b 3.730
_cell_length_c 9.778
_cell_angle_alpha 90.00
_cell_angle_beta 90.00
_cell_angle_gamma 90.00
_space_group_name_H-M_alt 'I m m m'
_space_group_IT_number 71
_space_group_name_Hall '-I 2 2'
loop_
_atom_site_label
_atom_site_type_symbol
_atom_site_fract_x
_atom_site_fract_y
_atom_site_fract_z
_atom_site_occupancy
Sc1 Sc 0.000 0.000 0.000 1
Cr1 Cr 0.000 0.500 0.250 1
Cl1 Cl 0.000 0.000 0.500 1
```

# 11
This record from Alexandria via LeMat-Bulk describes a PBEsol-optimized structure of La2YMn. The functional is meta-GGA SCAN.

spin magnetization = 6.56 μB per cell
energy = -32.8688 eV/atom
formation energy = 0.2082 eV/atom

Geometry as CIF:
```
data_La2YMn
_chemical_formula_sum 'La4 Y2 Mn2'
_cell_length_a 6.367
_cell_length_b 11.175
_cell_length_c 3.453
_cell_angle_alpha 90.00
_cell_angle_beta 116.60
_cell_angle_gamma 90.00
_space_group_name_H-M_alt 'C 1 2/m 1'
_space_group_IT_number 12
_space_group_name_Hall '-C 2y'
loop_
_atom_site_label
_atom_site_type_symbol
_atom_site_fract_x
_atom_site_fract_y
_atom_site_fract_z
_atom_site_occupancy
La1 La 0.250 0.250 0.000 1
Y1 Y 0.000 0.000 0.500 1
Mn1 Mn 0.000 0.500 0.500 1
```

# 12
This record from Alexandria via LeMat-Bulk describes a PBEsol-optimized structure of MgCrW2. The functional is meta-GGA SCAN.

spin magnetization = 0.00 μB per cell
energy = -40.1049 eV/atom
formation energy = 0.5787 eV/atom

Geometry as CIF:
```
data_MgCrW2
_chemical_formula_sum 'Mg2 Cr2 W4'
_cell_length_a 9.130
_cell_length_b 2.599
_cell_length_c 5.114
_cell_angle_alpha 90.00
_cell_angle_beta 92.75
_cell_angle_gamma 90.00
_space_group_name_H-M_alt 'C 1 2/m 1'
_space_group_IT_number 12
_space_group_name_Hall '-C 2y'
loop_
_atom_site_label
_atom_site_type_symbol
_atom_site_fract_x
_atom_site_fract_y
_atom_site_fract_z
_atom_site_occupancy
Mg1 Mg 0.000 0.000 0.000 1
Cr1 Cr 0.000 0.500 0.500 1
W1 W 0.248 0.500 0.254 1
```